## Li2PuPd9 (PBE)

Data for an optimized crystal structure of Li2PuPd9.

The value obtained for the formation enthalpy at 0 K is -0.3446 eV per atom. The value obtained for the mass density is 10.6 g/cm3. The calculation puts the energy at -5.753 eV/atom. Its space group is P4/mmm, No. 123.

Unit cell a=4.0584 b=4.0584 c=11.5497 alpha=90.00 beta=90.00 gamma=90.00
Closest atoms and distances in Å follow each position.
Positions (direct):
Pd  0.5000  0.0000  0.8203  8 Pd 2.76-2.90, 2 Li 2.78, 2 Pu 2.90
Pu  0.0000  0.0000  0.0000  12 Pd 2.87-2.90
Pd  0.5000  0.5000  0.0000  4 Pu 2.87, 8 Pd 2.90
Pd  0.0000  0.5000  0.8203  8 Pd 2.76-2.90, 2 Li 2.78, 2 Pu 2.90
Li  0.0000  0.0000  0.3437  12 Pd 2.72-2.87
Pd  0.5000  0.0000  0.1797  8 Pd 2.76-2.90, 2 Li 2.78, 2 Pu 2.90
Pd  0.0000  0.5000  0.1797  8 Pd 2.76-2.90, 2 Li 2.78, 2 Pu 2.90
Pd  0.0000  0.5000  0.5000  4 Li 2.72, 8 Pd 2.73-2.87
Pd  0.5000  0.5000  0.6586  8 Pd 2.73-2.76, 4 Li 2.87
Li  0.0000  0.0000  0.6563  12 Pd 2.72-2.87
Pd  0.5000  0.0000  0.5000  4 Li 2.72, 8 Pd 2.73-2.87
Pd  0.5000  0.5000  0.3414  8 Pd 2.73-2.76, 4 Li 2.87